This record from Alexandria describes a relaxed Mn2ReBr crystal. The functional is PBE.

```
data_Mn2ReBr
_space_group_name_H-M_alt 'P m m m'
_space_group_IT_number 47
_space_group_name_Hall '-P 2 2'
_cell_length_a 3.014
_cell_length_b 3.057
_cell_length_c 7.488
_cell_angle_alpha 90.00
_cell_angle_beta 90.00
_cell_angle_gamma 90.00
loop_
_atom_site_label
_atom_site_type_symbol
_atom_site_fract_x
_atom_site_fract_y
_atom_site_fract_z
Mn1 Mn 0.000 0.000 0.208
Re1 Re 0.500 0.500 0.000
Br1 Br 0.500 0.000 0.500
```

Results
As for the uncorrected formation energy: 31.8 kJ/mol of atoms. The magnetization comes out at 6.2 μB per formula unit. The crystal system is orthorhombic. The total energy is -31.14 eV per cell. As for the offset from the most stable computed form: 0.0 meV per atom.

=====

This record from Alexandria describes a relaxed MnRe2Br crystal. The functional is PBE.

```
data_MnRe2Br
_space_group_name_H-M_alt 'I -4 2 d'
_space_group_IT_number 122
_space_group_name_Hall 'I -4 2bw'
_cell_length_a 5.438
_cell_length_b 5.438
_cell_length_c 11.005
_cell_angle_alpha 90.00
_cell_angle_beta 90.00
_cell_angle_gamma 90.00
loop_
_atom_site_label
_atom_site_type_symbol
_atom_site_fract_x
_atom_site_fract_y
_atom_site_fract_z
Mn1 Mn 0.000 0.000 0.000
Re1 Re 0.211 0.250 0.125
Br1 Br 0.000 0.000 0.500
```

Results
As for the uncorrected formation energy: 143.1 kJ/mol of atoms. The magnetization comes out at 0.0 μB per formula unit. The crystal system is tetragonal. The total energy is -119.23 eV per cell. As for the offset from the most stable computed form: 1087.8 meV per atom.

=====

This record from Alexandria describes a relaxed Mn2ReBr crystal. The functional is PBE.

```
data_Mn2ReBr
_space_group_name_H-M_alt 'P m m m'
_space_group_IT_number 47
_space_group_name_Hall '-P 2 2'
_cell_length_a 2.982
_cell_length_b 4.323
_cell_length_c 4.655
_cell_angle_alpha 90.00
_cell_angle_beta 90.00
_cell_angle_gamma 90.00
loop_
_atom_site_label
_atom_site_type_symbol
_atom_site_fract_x
_atom_site_fract_y
_atom_site_fract_z
Mn1 Mn 0.000 0.000 0.000
Mn2 Mn 0.500 0.000 0.500
Re1 Re 0.000 0.500 0.500
Br1 Br 0.500 0.500 0.000
```

Results
As for the uncorrected formation energy: 93.5 kJ/mol of atoms. The magnetization comes out at 5.1 μB per formula unit. The crystal system is orthorhombic. The total energy is -28.58 eV per cell. As for the offset from the most stable computed form: 639.3 meV per atom.

=====

Q: What is the formula in the third record?
A: Mn2ReBr

=====

Q: Among the records above, which one has the lowest total energy?
A: MnRe2Br

=====

Q: Which of these has the highest offset from the most stable computed form?
A: MnRe2Br

=====

Q: Which value of total energy does entry 1 give?
A: -31.14 eV per cell